GGA-PBE Nd8Dy4Tm3, optimized geometry; energy of formation from the pure elements = 488 kJ/mol of formula units; V = 508.88 Å³/f.u.; space group = No. 12
1.0
-3.9272 3.3444 4.5498
-3.2171 -8.4848 -1.3872
6.7953 -4.4428 4.2839
Nd Dy Tm
8 4 3
Direct
0.2928 0.2439 0.2439 Nd
0.0000 0.7049 0.2951 Nd
0.8287 0.2974 0.2974 Nd
0.5000 0.7532 0.2468 Nd
0.5000 0.2468 0.7532 Nd
0.1713 0.7026 0.7026 Nd
0.0000 0.2951 0.7049 Nd
0.7072 0.7561 0.7561 Nd
0.5000 0.0000 0.0000 Dy
0.0000 0.5000 0.0000 Dy
0.0000 0.0000 0.0000 Dy
0.0000 0.0000 0.5000 Dy
0.5000 0.5000 0.0000 Tm
0.5000 0.0000 0.5000 Tm
0.5000 0.5000 0.5000 Tm